An optimized crystal structure of RbCaHg14, computed with GGA-PBE.

Summary:
Calculated density in g cm⁻³: 10.1
Crystal system: orthorhombic
DFT formation energy in eV/atom: -0.111

Cell: 11.3858 11.3858 11.3858 Å, 125.73 122.68 82.88°
Positions (direct):
1 Rb 0.3466 0.0966 0.2500
2 Rb 0.6534 0.9034 0.7500
3 Ca 0.0000 0.0000 0.5000
4 Ca 0.0000 0.5000 0.0000
5 Hg 0.0456 0.6576 0.3881
6 Hg 0.0520 0.1732 0.3390
7 Hg 0.0520 0.7130 0.8788
8 Hg 0.0658 0.1639 0.9019
9 Hg 0.1560 0.5342 0.6218
10 Hg 0.2305 0.3424 0.8881
11 Hg 0.2380 0.8361 0.4019
12 Hg 0.2792 0.4767 0.4147
13 Hg 0.2792 0.8645 0.8026
14 Hg 0.3342 0.1732 0.6212
15 Hg 0.3342 0.7130 0.1610
16 Hg 0.4125 0.5342 0.8782
17 Hg 0.4380 0.1355 0.9147
18 Hg 0.4380 0.5233 0.3026
19 Hg 0.5620 0.4767 0.6974
20 Hg 0.5620 0.8645 0.0853
21 Hg 0.5875 0.4658 0.1218
22 Hg 0.6658 0.2870 0.8390
23 Hg 0.6658 0.8268 0.3788
24 Hg 0.7208 0.1355 0.1974
25 Hg 0.7208 0.5233 0.5853
26 Hg 0.7620 0.1639 0.5981
27 Hg 0.7695 0.6576 0.1119
28 Hg 0.8440 0.4658 0.3782
29 Hg 0.9342 0.8361 0.0981
30 Hg 0.9480 0.2870 0.1212
31 Hg 0.9480 0.8268 0.6610
32 Hg 0.9544 0.3424 0.6119